1.
Computed, not measured: crystalline TiAs2 at its relaxed geometry at the PBE level of DFT.

Values from the calculation:
**Spin magnetization**: 0.00 μB per cell
**Final energy**: -6.290 eV per atom

Cell: 3.429 12.108 5.278 Å, 90.00 90.00 90.00°
Sites, in units of the cell vectors:
Ti: 0.000 0.093 0.000
Ti: 0.000 0.907 0.500
Ti: 0.500 0.407 0.500
Ti: 0.500 0.593 0.000
As: 0.000 0.293 0.222
As: 0.000 0.433 0.871
As: 0.000 0.567 0.371
As: 0.000 0.707 0.722
As: 0.500 0.067 0.371
As: 0.500 0.207 0.722
As: 0.500 0.793 0.222
As: 0.500 0.933 0.871

2.
Computed, not measured: crystalline CdIr2Ru at its relaxed geometry at the PBE level of DFT.

Values from the calculation:
**Spin magnetization**: 0.00 μB per cell
**Final energy**: -6.741 eV per atom

Cell: 2.773 3.824 5.950 Å, 90.00 90.00 90.00°
Sites, in units of the cell vectors:
Cd: 0.000 0.000 0.000
Ir: 0.000 0.000 0.506
Ir: 0.500 0.500 0.275
Ru: 0.500 0.500 0.718

3.
Computed, not measured: crystalline CoHgTe2 at its relaxed geometry at the PBE level of DFT.

Values from the calculation:
**Spin magnetization**: 0.00 μB per cell
**Final energy**: -3.544 eV per atom
**Formation energy (no corrections)**: -0.121 eV per atom

Cell: 3.763 3.763 25.110 Å, 90.00 90.00 120.00°
Sites, in units of the cell vectors:
Co: 0.000 0.000 0.000
Co: 0.333 0.667 0.667
Co: 0.667 0.333 0.333
Hg: 0.000 0.000 0.168
Hg: 0.333 0.667 0.835
Hg: 0.667 0.333 0.501
Te: 0.000 0.000 0.387
Te: 0.000 0.000 0.614
Te: 0.333 0.667 0.054
Te: 0.333 0.667 0.280
Te: 0.667 0.333 0.720
Te: 0.667 0.333 0.947

4.
Computed, not measured: crystalline Dy2NpN at its relaxed geometry at the PBE level of DFT.

Values from the calculation:
**Spin magnetization**: 13.95 μB per cell
**Final energy**: -8.006 eV per atom
**Formation energy (no corrections)**: -0.388 eV per atom

Cell: 3.362 3.362 28.588 Å, 90.00 90.00 120.00°
Sites, in units of the cell vectors:
Dy: 0.000 0.000 0.119
Dy: 0.000 0.000 0.881
Dy: 0.333 0.667 0.548
Dy: 0.333 0.667 0.786
Dy: 0.667 0.333 0.214
Dy: 0.667 0.333 0.452
Np: 0.000 0.000 0.000
Np: 0.333 0.667 0.667
Np: 0.667 0.333 0.333
N: 0.000 0.000 0.500
N: 0.333 0.667 0.167
N: 0.667 0.333 0.833

5.
Computed, not measured: crystalline AcIn3Pt2 at its relaxed geometry at the PBE level of DFT.

Values from the calculation:
**Spin magnetization**: 0.00 μB per cell
**ΔE to the lowest computed polymorph**: 0 meV per atom
**Final energy**: -4.753 eV per atom

Cell: 9.337 9.337 11.103 Å, 107.55 107.55 27.80°
Sites, in units of the cell vectors:
Ac: 0.000 0.000 0.000
Ac: 0.159 0.159 0.706
Ac: 0.841 0.841 0.294
In: 0.040 0.040 0.347
In: 0.215 0.215 0.392
In: 0.326 0.326 0.035
In: 0.372 0.372 0.797
In: 0.500 0.500 0.500
In: 0.628 0.628 0.203
In: 0.674 0.674 0.965
In: 0.785 0.785 0.608
In: 0.960 0.960 0.653
Pt: 0.203 0.203 0.135
Pt: 0.362 0.362 0.544
Pt: 0.474 0.474 0.207
Pt: 0.526 0.526 0.793
Pt: 0.638 0.638 0.456
Pt: 0.797 0.797 0.865

6.
Computed, not measured: crystalline TbSmCS at its relaxed geometry at the PBE level of DFT.

Values from the calculation:
**Spin magnetization**: 0.00 μB per cell
**Final energy**: -6.696 eV per atom
**Formation energy (no corrections)**: -1.021 eV per atom

Cell: 3.850 3.850 5.380 Å, 90.00 90.00 90.00°
Sites, in units of the cell vectors:
Tb: 0.000 0.000 0.000
Sm: 0.500 0.500 0.500
C: 0.500 0.500 0.000
S: 0.000 0.000 0.500

7.
Computed, not measured: crystalline UBe2Al at its relaxed geometry at the PBE level of DFT.

Values from the calculation:
**Spin magnetization**: 1.30 μB per cell
**Final energy**: -5.276 eV per atom

Cell: 2.749 2.749 26.863 Å, 90.00 90.00 120.00°
Sites, in units of the cell vectors:
U: 0.000 0.000 0.000
U: 0.333 0.667 0.667
U: 0.667 0.333 0.333
Be: 0.000 0.000 0.242
Be: 0.000 0.000 0.758
Be: 0.333 0.667 0.425
Be: 0.333 0.667 0.908
Be: 0.667 0.333 0.092
Be: 0.667 0.333 0.575
Al: 0.000 0.000 0.500
Al: 0.333 0.667 0.167
Al: 0.667 0.333 0.833

8.
Computed, not measured: crystalline TiCrSb2 at its relaxed geometry at the PBE level of DFT.

Values from the calculation:
**Spin magnetization**: 13.09 μB per cell
**ΔE to the lowest computed polymorph**: 226 meV per atom
**Final energy**: -6.212 eV per atom
**Formation energy (no corrections)**: 0.229 eV per atom

Cell: 7.479 7.479 6.309 Å, 90.00 90.00 90.00°
Sites, in units of the cell vectors:
Ti: 0.000 0.000 0.000
Ti: 0.000 0.500 0.250
Ti: 0.500 0.000 0.750
Ti: 0.500 0.500 0.500
Cr: 0.000 0.000 0.500
Cr: 0.000 0.500 0.750
Cr: 0.500 0.000 0.250
Cr: 0.500 0.500 0.000
Sb: 0.241 0.250 0.625
Sb: 0.250 0.741 0.875
Sb: 0.250 0.759 0.375
Sb: 0.259 0.250 0.125
Sb: 0.741 0.750 0.125
Sb: 0.750 0.241 0.375
Sb: 0.750 0.259 0.875
Sb: 0.759 0.750 0.625

9.
Computed, not measured: crystalline Sc4GeBiTe2 at its relaxed geometry at the PBE level of DFT.

Values from the calculation:
**Spin magnetization**: 0.00 μB per cell
**Final energy**: -5.981 eV per atom
**Formation energy (no corrections)**: -0.968 eV per atom

Cell: 7.172 4.110 7.187 Å, 90.00 109.20 90.00°
Sites, in units of the cell vectors:
Sc: 0.224 0.000 0.225
Sc: 0.234 0.500 0.765
Sc: 0.766 0.500 0.235
Sc: 0.776 0.000 0.775
Ge: 0.000 0.500 0.000
Bi: 0.000 0.000 0.500
Te: 0.500 0.000 0.000
Te: 0.500 0.500 0.500

10.
Computed, not measured: crystalline MgRuRh2 at its relaxed geometry at the PBE level of DFT.

Values from the calculation:
**Spin magnetization**: 0.00 μB per cell
**Final energy**: -6.426 eV per atom

Cell: 2.771 2.771 7.709 Å, 90.00 90.00 90.00°
Sites, in units of the cell vectors:
Mg: 0.000 0.000 0.000
Ru: 0.500 0.500 0.732
Rh: 0.000 0.000 0.502
Rh: 0.500 0.500 0.253

11.
Computed, not measured: crystalline OsRu2W at its relaxed geometry at the PBE level of DFT.

Values from the calculation:
**Spin magnetization**: 0.00 μB per cell
**ΔE to the lowest computed polymorph**: 114 meV per atom
**Final energy**: -10.584 eV per atom

Cell: 2.751 2.751 7.725 Å, 90.00 90.00 90.00°
Sites, in units of the cell vectors:
Os: 0.000 0.000 0.000
Ru: 0.000 0.000 0.487
Ru: 0.500 0.500 0.241
W: 0.500 0.500 0.739

12.
Computed, not measured: crystalline LiCdIr2 at its relaxed geometry at the PBE level of DFT.

Values from the calculation:
**Spin magnetization**: 0.00 μB per cell
**Final energy**: -5.149 eV per atom

Cell: 2.785 2.785 8.269 Å, 90.00 90.00 90.00°
Sites, in units of the cell vectors:
Li: 0.000 0.000 0.000
Cd: 0.500 0.500 0.284
Ir: 0.000 0.000 0.553
Ir: 0.500 0.500 0.767